# 1
## NdAl2Ag9 (PBE)

Data for an optimized crystal structure of NdAl2Ag9.

Cell: 8.7980 8.7980 8.7980 Å, 99.51 99.51 132.02°
Fractional coordinates of all 24 atoms:
Nd (0.3750, 0.6250, 0.7500)
Nd (0.6250, 0.3750, 0.2500)
Al (0.0000, 0.0000, 0.0000)
Al (0.0000, 0.0000, 0.5000)
Al (0.0000, 0.5000, 0.0000)
Al (0.5000, 0.0000, 0.5000)
Ag (0.1250, 0.8750, 0.2500)
Ag (0.1308, 0.5600, 0.3276)
Ag (0.1308, 0.8032, 0.5708)
Ag (0.1968, 0.2676, 0.3276)
Ag (0.1968, 0.8692, 0.9292)
Ag (0.2676, 0.1968, 0.8276)
Ag (0.2676, 0.4400, 0.0708)
Ag (0.4400, 0.2676, 0.5708)
Ag (0.4400, 0.8692, 0.1724)
Ag (0.5600, 0.1308, 0.8276)
Ag (0.5600, 0.7324, 0.4292)
Ag (0.7324, 0.5600, 0.9292)
Ag (0.7324, 0.8032, 0.1724)
Ag (0.8032, 0.1308, 0.0708)
Ag (0.8032, 0.7324, 0.6724)
Ag (0.8692, 0.1968, 0.4292)
Ag (0.8692, 0.4400, 0.6724)
Ag (0.8750, 0.1250, 0.7500)

Output
DOS at the Fermi energy (states/eV/f.u.): 5.05
Formation energy (meV/atom): -112

# 2
## Nd2Al5Ag5 (PBE)

Data for an optimized crystal structure of Nd2Al5Ag5.

Cell: 4.4617 5.5092 9.6998 Å, 90.00 90.00 90.00°
Fractional coordinates of all 12 atoms:
Nd (0.0000, 0.0000, 0.0000)
Nd (0.0000, 0.5000, 0.5000)
Al (0.5000, 0.0000, 0.5000)
Al (0.5000, 0.2483, 0.2446)
Al (0.5000, 0.2483, 0.7554)
Al (0.5000, 0.7517, 0.2446)
Al (0.5000, 0.7517, 0.7554)
Ag (0.0000, 0.0000, 0.3342)
Ag (0.0000, 0.0000, 0.6658)
Ag (0.0000, 0.5000, 0.1799)
Ag (0.0000, 0.5000, 0.8201)
Ag (0.5000, 0.5000, 0.0000)

Output
DOS at the Fermi energy (states/eV/f.u.): 4.05
Formation energy (meV/atom): -346

# 3
## Nd7Al2Ag2 (PBE)

Data for an optimized crystal structure of Nd7Al2Ag2.

Cell: 6.8747 6.8747 7.6429 Å, 90.00 90.00 108.79°
Fractional coordinates of all 11 atoms:
Nd (0.0000, 0.0000, 0.0000)
Nd (0.0000, 0.5000, 0.2878)
Nd (0.0000, 0.5000, 0.7122)
Nd (0.5000, 0.0000, 0.2878)
Nd (0.5000, 0.0000, 0.7122)
Nd (0.5000, 0.5000, 0.2710)
Nd (0.5000, 0.5000, 0.7290)
Al (0.1632, 0.1632, 0.5000)
Al (0.8368, 0.8368, 0.5000)
Ag (0.2891, 0.7109, 0.0000)
Ag (0.7109, 0.2891, 0.0000)

Output
DOS at the Fermi energy (states/eV/f.u.): 14.41
Formation energy (meV/atom): 28

# 4
## Nd3AlAg3 (PBE)

Data for an optimized crystal structure of Nd3AlAg3.

Cell: 5.9297 5.9297 15.6331 Å, 107.43 107.43 44.16°
Fractional coordinates of all 14 atoms:
Nd (0.0301, 0.0301, 0.3871)
Nd (0.1000, 0.1000, 0.9191)
Nd (0.2533, 0.2533, 0.2357)
Nd (0.7467, 0.7467, 0.7643)
Nd (0.9000, 0.9000, 0.0809)
Nd (0.9699, 0.9699, 0.6129)
Al (0.2571, 0.2571, 0.6063)
Al (0.7429, 0.7429, 0.3937)
Ag (0.3592, 0.3592, 0.4604)
Ag (0.3853, 0.3853, 0.9227)
Ag (0.4598, 0.4598, 0.7635)
Ag (0.5402, 0.5402, 0.2365)
Ag (0.6147, 0.6147, 0.0773)
Ag (0.6408, 0.6408, 0.5396)

Output
DOS at the Fermi energy (states/eV/f.u.): 7.91
Formation energy (meV/atom): -265

# 5
## Nd5AlAg4 (PBE)

Data for an optimized crystal structure of Nd5AlAg4.

Cell: 3.7263 3.7263 18.9890 Å, 90.00 90.00 90.00°
Fractional coordinates of all 10 atoms:
Nd (0.0000, 0.0000, 0.0000)
Nd (0.0000, 0.0000, 0.2009)
Nd (0.0000, 0.0000, 0.4016)
Nd (0.0000, 0.0000, 0.5984)
Nd (0.0000, 0.0000, 0.7991)
Al (0.5000, 0.5000, 0.5000)
Ag (0.5000, 0.5000, 0.0996)
Ag (0.5000, 0.5000, 0.3015)
Ag (0.5000, 0.5000, 0.6985)
Ag (0.5000, 0.5000, 0.9004)

Output
DOS at the Fermi energy (states/eV/f.u.): 7.31
Formation energy (meV/atom): -281

# 6
## NdAl3Ag3 (PBE)

Data for an optimized crystal structure of NdAl3Ag3.

Cell: 7.0676 7.0676 7.0676 Å, 70.91 70.91 70.91°
Fractional coordinates of all 14 atoms:
Nd (0.1787, 0.1787, 0.1787)
Nd (0.8213, 0.8213, 0.8213)
Al (0.0543, 0.7060, 0.3651)
Al (0.2940, 0.6349, 0.9457)
Al (0.3651, 0.0543, 0.7060)
Al (0.6349, 0.9457, 0.2940)
Al (0.7060, 0.3651, 0.0543)
Al (0.9457, 0.2940, 0.6349)
Ag (0.1748, 0.4429, 0.7230)
Ag (0.2770, 0.8252, 0.5571)
Ag (0.4429, 0.7230, 0.1748)
Ag (0.5571, 0.2770, 0.8252)
Ag (0.7230, 0.1748, 0.4429)
Ag (0.8252, 0.5571, 0.2770)

Output
DOS at the Fermi energy (states/eV/f.u.): 1.83
Formation energy (meV/atom): -91